Computed, not measured: a relaxed K2MoBr2F4 crystal at the PBE+U level of DFT.

```
data_K2MoBr2F4
_space_group_name_H-M_alt 'I 4/m m m'
_space_group_IT_number 139
_space_group_name_Hall '-I 4 2'
_cell_length_a 6.793
_cell_length_b 6.793
_cell_length_c 9.408
_cell_angle_alpha 90.00
_cell_angle_beta 90.00
_cell_angle_gamma 90.00
loop_
_atom_site_label
_atom_site_type_symbol
_atom_site_fract_x
_atom_site_fract_y
_atom_site_fract_z
K1 K 0.000 0.500 0.250
Mo1 Mo 0.000 0.000 0.000
Br1 Br 0.000 0.000 0.278
F1 F 0.206 0.206 0.000
```

Properties
- E: -39.82 eV/f.u.